[1]
This record from Alexandria via LeMat-Bulk describes a geometry-optimized CeNd3Y6Tm2 structure. The functional is PBE.

## Properties
**Calculated formation energy**: 36.2 meV per atom
**Uncorrected energy**: -135.060 eV for the cell shown

Lattice parameters (Å, degrees): 6.2148 10.7614 11.8561 90.00 100.04 90.00
With the nearest neighbours (Å) after each atom.
Space group C2/m (No. 12)
Inequivalent atoms, fractional coordinates:
Ce: 0.0000 0.0000 0.0000 (multiplicity 2)  6 Y 3.53, 6 Tm 3.59
Nd: 0.0000 0.1676 0.5000 (multiplicity 4)  6 Nd 3.58-3.61, 6 Y 3.62
Nd: 0.0000 0.5000 0.5000 (multiplicity 2)  6 Nd 3.58-3.59, 6 Y 3.61-3.62
Y: 0.2481 0.1657 0.2459 (multiplicity 8)  1 Ce 3.53, 2 Tm 3.54, 6 Y 3.57-3.60, 3 Nd 3.61-3.62
Y: 0.2494 0.0000 0.7540 (multiplicity 4)  1 Ce 3.53, 2 Tm 3.55, 6 Y 3.57-3.60, 3 Nd 3.62
Tm: 0.0000 0.3333 0.0000 (multiplicity 4)  6 Y 3.54-3.55, 3 Ce 3.59, 3 Tm 3.59

[2]
This record from Alexandria via LeMat-Bulk describes a geometry-optimized TiGe3I structure. The functional is PBE.

## Properties
**E_form (uncorrected)**: 0.351 eV per atom
**Uncorrected energy**: -21.542 eV for the cell shown
**Excess energy over the best structure of this formula in the dataset**: 0.00 eV/f.u.

Lattice parameters (Å, degrees): 5.0807 5.0807 5.0807 90.00 90.00 90.00
With the nearest neighbours (Å) after each atom.
Space group Pm-3m (No. 221)
Inequivalent atoms, fractional coordinates:
Ti: 0.0000 0.0000 0.0000 (multiplicity 1)  6 Ge 2.54
Ge: 0.0000 0.0000 0.5000 (multiplicity 3)  2 Ti 2.54
I: 0.5000 0.5000 0.5000 (multiplicity 1)  12 Ge 3.59

[3]
This record from Alexandria via LeMat-Bulk describes a geometry-optimized TcC2Se2 structure. The functional is PBE.

## Properties
**E_form (uncorrected)**: 1.455 eV per atom
**Uncorrected energy**: -57.012 eV for the cell shown
**Excess energy over the best structure of this formula in the dataset**: 1.60 eV/f.u.

Lattice parameters (Å, degrees): 6.5898 6.5898 3.0823 90.00 90.00 90.00
With the nearest neighbours (Å) after each atom.
Space group P4/mbm (No. 127)
Inequivalent atoms, fractional coordinates:
Tc: 0.0000 0.0000 0.0000 (multiplicity 2)  4 C 2.37
C: 0.2036 0.2964 0.0000 (multiplicity 4)  2 Se 1.95
Se: 0.1684 0.6684 0.5000 (multiplicity 4)  2 C 1.95

[4]
This record from Alexandria via LeMat-Bulk describes a geometry-optimized YMg2 structure. The functional is PBE.

## Properties
**Calculated formation energy**: 4.6 meV per atom
**Uncorrected energy**: -38.558 eV for the cell shown

Lattice parameters (Å, degrees): 9.7874 5.9476 5.4103 90.00 90.00 90.00
With the nearest neighbours (Å) after each atom.
Space group Cmcm (No. 63)
Inequivalent atoms, fractional coordinates:
Y: 0.0000 0.1748 0.2500 (multiplicity 4)  10 Mg 3.27-3.47, 2 Y 3.41
Mg: 0.1660 0.3412 0.7500 (multiplicity 8)  7 Mg 3.25-3.40, 5 Y 3.27-3.47

[5]
This record from Alexandria via LeMat-Bulk describes a geometry-optimized Na2TlInI5 structure. The functional is PBE.

## Properties
**E_form (uncorrected)**: -0.773 eV per atom
**Uncorrected energy**: -89.806 eV for the cell shown

Lattice parameters (Å, degrees): 5.0984 23.2041 13.9253 90.00 90.00 90.00
With the nearest neighbours (Å) after each atom.
Space group Cmc2_1 (No. 36)
Inequivalent atoms, fractional coordinates:
Na: 0.0000 0.1218 0.0000 (multiplicity 4)  4 I 3.30-3.40
Na: 0.0000 0.1656 0.3722 (multiplicity 4)  5 I 3.18-3.53
Tl: 0.0000 0.2060 0.7241 (multiplicity 4)  3 I 3.30-3.55
In: 0.0000 0.4514 0.1561 (multiplicity 4)  4 I 2.90-2.98
I: 0.0000 0.0415 0.7580 (multiplicity 4)  2 In 2.92
I: 0.0000 0.3014 0.4006 (multiplicity 4)  3 Na 3.18-3.40, 2 Tl 3.55
I: 0.0000 0.3407 0.0474 (multiplicity 4)  1 In 2.98
I: 0.0000 0.3479 0.7358 (multiplicity 4)  2 Na 3.19, 1 Tl 3.30
I: 0.0000 0.4682 0.4968 (multiplicity 4)  1 In 2.90

[6]
This record from Alexandria via LeMat-Bulk describes a geometry-optimized TbGaCu2 structure. The functional is PBE.

## Properties
**Calculated formation energy**: -127.5 meV per atom
**Uncorrected energy**: -32.719 eV for the cell shown

Lattice parameters (Å, degrees): 3.4310 6.2679 7.1531 90.00 90.00 90.00
With the nearest neighbours (Å) after each atom.
Space group Amm2 (No. 38)
Inequivalent atoms, fractional coordinates:
Tb: 0.0000 0.0000 0.0000 (multiplicity 2)  8 Cu 2.97
Ga: 0.5000 0.0000 0.4062 (multiplicity 2)  4 Cu 2.41-2.46
Cu: 0.5000 0.1916 0.7059 (multiplicity 4)  1 Cu 2.40, 2 Ga 2.41-2.46

Fermi-level density of states for the records above, in order: 38.64, 8.01, 4.59, 10.43, 5.37, 5.26 states/eV/cell